Tb2AlCd2: optimized geometry, PBE-GGA.

Properties
space group: Cmmm (65)
crystal system: orthorhombic
DFT total energy: -3.2624 eV/atom

a = 7.868 Å, b = 7.868 Å, c = 3.407 Å
α = 90.00°, β = 90.00°, γ = 144.92°
Sites, in units of the cell vectors:
Tb  0.108  0.892  0.000
Tb  0.892  0.108  0.000
Al  0.500  0.500  0.500
Cd  0.302  0.698  0.500
Cd  0.698  0.302  0.500